Material: K7Al6
Method: DFT, PBE-GGA
State: optimized geometry

As for the space-group type: No. 166. The energy of formation from the pure elements comes out at 7.9 eV/f.u. As for the electronic total energy: -1.7127 eV/atom.

Unit cell a=10.9999 b=10.9999 c=10.9999 alpha=40.47 beta=40.47 gamma=40.47
Closest atoms and distances in Å follow each position.
Fractional positions:
K 0.0000 0.0000 0.0000  6 K 3.41
K 0.1033 0.1033 0.5546  2 Al 3.39-3.50, 3 K 3.41-3.43
K 0.1033 0.5546 0.1033  2 Al 3.39-3.50, 3 K 3.41-3.43
K 0.4454 0.8967 0.8967  2 Al 3.39-3.50, 3 K 3.41-3.43
K 0.5546 0.1033 0.1033  2 Al 3.39-3.50, 3 K 3.41-3.43
K 0.8967 0.4454 0.8967  2 Al 3.39-3.50, 3 K 3.41-3.43
K 0.8967 0.8967 0.4454  2 Al 3.39-3.50, 3 K 3.41-3.43
Al 0.1583 0.1583 0.1583  6 K 3.39-3.50
Al 0.3681 0.3681 0.3681  1 Al 2.68
Al 0.4566 0.4566 0.4566  2 Al 2.63-2.68
Al 0.5434 0.5434 0.5434  2 Al 2.63-2.68
Al 0.6319 0.6319 0.6319  1 Al 2.68
Al 0.8417 0.8417 0.8417  6 K 3.39-3.50

---

Material: KAl2
Method: DFT, PBE-GGA
State: optimized geometry

For the energy above the most stable polymorph in this dataset, the calculation gives 100 meV/atom. As for the space-group type: No. 139. The energy of formation from the pure elements comes out at 0.8 eV/f.u. As for the electronic total energy: -2.5906 eV/atom.

Unit cell a=7.9731 b=7.9731 c=7.9731 alpha=157.67 beta=157.67 gamma=31.78
Closest atoms and distances in Å follow each position.
Fractional positions:
K 0.0000 0.0000 0.0000  4 K 3.09
Al 0.3126 0.3126 0.0000  8 Al 2.91-3.09
Al 0.6874 0.6874 0.0000  8 Al 2.91-3.09

---

Material: KAl2
Method: DFT, PBE-GGA
State: optimized geometry

For the energy above the most stable polymorph in this dataset, the calculation gives 10 meV/atom. As for the space-group type: No. 12. The energy of formation from the pure elements comes out at 0.5 eV/f.u. As for the electronic total energy: -2.6814 eV/atom.

Unit cell a=6.1384 b=6.1384 c=8.5107 alpha=108.89 beta=108.89 gamma=30.67
Closest atoms and distances in Å follow each position.
Fractional positions:
K 0.1521 0.1521 0.1135  3 K 3.25-3.47, 6 Al 3.41-3.64
K 0.8479 0.8479 0.8865  3 K 3.25-3.47, 6 Al 3.41-3.64
Al 0.1517 0.1517 0.5135  6 Al 2.81-2.91
Al 0.4626 0.4626 0.3155  5 Al 2.81-2.96
Al 0.5374 0.5374 0.6845  5 Al 2.81-2.96
Al 0.8483 0.8483 0.4865  6 Al 2.81-2.91

---

Material: K3Al
Method: DFT, PBE-GGA
State: optimized geometry

For the energy above the most stable polymorph in this dataset, the calculation gives 162 meV/atom. As for the space-group type: No. 225. The energy of formation from the pure elements comes out at 1.2 eV/f.u. As for the electronic total energy: -1.4557 eV/atom.

Unit cell a=6.3766 b=6.3766 c=6.3766 alpha=60.00 beta=60.00 gamma=60.00
Closest atoms and distances in Å follow each position.
Fractional positions:
K 0.0000 0.0000 0.0000  8 K 3.90
K 0.2500 0.2500 0.2500  4 Al 3.90, 4 K 3.90
K 0.7500 0.7500 0.7500  4 K 3.90, 4 Al 3.90
Al 0.5000 0.5000 0.5000  8 K 3.90

---

Material: K3Al
Method: DFT, PBE-GGA
State: optimized geometry

For the energy above the most stable polymorph in this dataset, the calculation gives 175 meV/atom. As for the space-group type: No. 221. The energy of formation from the pure elements comes out at 1.3 eV/f.u. As for the electronic total energy: -1.4423 eV/atom.

Unit cell a=5.7409 b=5.7409 c=5.7409 alpha=90.00 beta=90.00 gamma=90.00
Closest atoms and distances in Å follow each position.
Fractional positions:
K 0.0000 0.0000 0.5000  8 K 4.06, 4 Al 4.06
K 0.0000 0.5000 0.0000  8 K 4.06, 4 Al 4.06
K 0.5000 0.0000 0.0000  8 K 4.06, 4 Al 4.06
Al 0.5000 0.5000 0.5000  12 K 4.06

---

Material: K3Al4
Method: DFT, PBE-GGA
State: optimized geometry

As for the space-group type: No. 191. The energy of formation from the pure elements comes out at 4.8 eV/f.u. As for the electronic total energy: -1.9176 eV/atom.

Unit cell a=6.0813 b=6.0813 c=6.4673 alpha=90.00 beta=90.00 gamma=120.00
Closest atoms and distances in Å follow each position.
Fractional positions:
K 0.0000 0.5000 0.0000  4 K 3.04
K 0.5000 0.0000 0.0000  4 K 3.04
K 0.5000 0.5000 0.0000  4 K 3.04
Al 0.0000 0.0000 0.3008  1 Al 2.58
Al 0.0000 0.0000 0.6992  1 Al 2.58
Al 0.3333 0.6667 0.5000  9 Al 3.51-3.74, 6 K 3.68
Al 0.6667 0.3333 0.5000  9 Al 3.51-3.74, 6 K 3.68

---

Material: KAl2
Method: DFT, PBE-GGA
State: optimized geometry

For the energy above the most stable polymorph in this dataset, the calculation gives 0 meV/atom. As for the space-group type: No. 63. The energy of formation from the pure elements comes out at 0.5 eV/f.u. As for the electronic total energy: -2.6910 eV/atom.

Unit cell a=6.9855 b=6.9855 c=4.6740 alpha=90.00 beta=90.00 gamma=45.58
Closest atoms and distances in Å follow each position.
Fractional positions:
K 0.2264 0.7736 0.7500  4 K 3.39-3.77, 8 Al 3.54-3.70
K 0.7736 0.2264 0.2500  4 K 3.39-3.77, 8 Al 3.54-3.70
Al 0.1509 0.4191 0.2500  6 Al 2.75-2.85
Al 0.4191 0.1509 0.7500  6 Al 2.75-2.85
Al 0.5809 0.8491 0.2500  6 Al 2.75-2.85
Al 0.8491 0.5809 0.7500  6 Al 2.75-2.85

---

Material: K3Al
Method: DFT, PBE-GGA
State: optimized geometry

For the energy above the most stable polymorph in this dataset, the calculation gives 163 meV/atom. As for the space-group type: No. 223. The energy of formation from the pure elements comes out at 1.2 eV/f.u. As for the electronic total energy: -1.4548 eV/atom.

Unit cell a=7.1755 b=7.1755 c=7.1755 alpha=90.00 beta=90.00 gamma=90.00
Closest atoms and distances in Å follow each position.
Fractional positions:
K 0.0000 0.2500 0.5000  2 K 3.59, 4 Al 4.01
K 0.0000 0.7500 0.5000  2 K 3.59, 4 Al 4.01
K 0.2500 0.5000 0.0000  2 K 3.59, 4 Al 4.01
K 0.5000 0.0000 0.2500  2 K 3.59, 4 Al 4.01
K 0.5000 0.0000 0.7500  2 K 3.59, 4 Al 4.01
K 0.7500 0.5000 0.0000  2 K 3.59, 4 Al 4.01
Al 0.0000 0.0000 0.0000  12 K 4.01
Al 0.5000 0.5000 0.5000  12 K 4.01

---

Material: KAl2
Method: DFT, PBE-GGA
State: optimized geometry

For the energy above the most stable polymorph in this dataset, the calculation gives 450 meV/atom. As for the space-group type: No. 189. The energy of formation from the pure elements comes out at 1.9 eV/f.u. As for the electronic total energy: -2.2412 eV/atom.

Unit cell a=7.9794 b=7.9794 c=5.1260 alpha=90.00 beta=90.00 gamma=120.00
Closest atoms and distances in Å follow each position.
Fractional positions:
K 0.0000 0.0000 0.0000  9 Al 3.07-3.13
K 0.3333 0.6667 0.5000  9 Al 3.25-3.55
K 0.6667 0.3333 0.5000  9 Al 3.25-3.55
Al 0.0000 0.2126 0.5000  4 Al 2.94, 4 K 3.07-3.25
Al 0.0000 0.3920 0.0000  2 Al 2.94, 1 K 3.13
Al 0.2126 0.0000 0.5000  4 Al 2.94, 4 K 3.07-3.25
Al 0.3920 0.0000 0.0000  2 Al 2.94, 1 K 3.13
Al 0.6080 0.6080 0.0000  2 Al 2.94, 1 K 3.13
Al 0.7874 0.7874 0.5000  4 Al 2.94, 4 K 3.07-3.25

---

Material: KAl3
Method: DFT, PBE-GGA
State: optimized geometry

As for the space-group type: No. 65. The energy of formation from the pure elements comes out at 1.8 eV/f.u. As for the electronic total energy: -2.6214 eV/atom.

Unit cell a=5.9596 b=5.9596 c=2.8417 alpha=90.00 beta=90.00 gamma=115.63
Closest atoms and distances in Å follow each position.
Fractional positions:
K 0.0000 0.0000 0.0000  2 K 2.84, 2 Al 3.17
Al 0.0000 0.5000 0.5000  4 Al 2.84-3.17
Al 0.5000 0.0000 0.5000  4 Al 2.84-3.17
Al 0.5000 0.5000 0.0000  2 Al 2.84, 2 K 3.17

---

Material: KAl3
Method: DFT, PBE-GGA
State: optimized geometry

As for the space-group type: No. 221. The energy of formation from the pure elements comes out at 2.0 eV/f.u. As for the electronic total energy: -2.5839 eV/atom.

Unit cell a=4.5146 b=4.5146 c=4.5146 alpha=90.00 beta=90.00 gamma=90.00
Closest atoms and distances in Å follow each position.
Fractional positions:
K 0.0000 0.0000 0.0000  12 Al 3.19
Al 0.0000 0.5000 0.5000  4 K 3.19, 8 Al 3.19
Al 0.5000 0.0000 0.5000  4 K 3.19, 8 Al 3.19
Al 0.5000 0.5000 0.0000  4 K 3.19, 8 Al 3.19

---

Material: KAl4
Method: DFT, PBE-GGA
State: optimized geometry

As for the space-group type: No. 221. The energy of formation from the pure elements comes out at 8.3 eV/f.u. As for the electronic total energy: -1.5632 eV/atom.

Unit cell a=5.6981 b=5.6981 c=5.6981 alpha=90.00 beta=90.00 gamma=90.00
Closest atoms and distances in Å follow each position.
Fractional positions:
K 0.0000 0.0000 0.0000  6 Al 2.85
Al 0.0000 0.0000 0.5000  2 K 2.85
Al 0.0000 0.5000 0.0000  2 K 2.85
Al 0.5000 0.0000 0.0000  2 K 2.85
Al 0.5000 0.5000 0.5000  12 Al 4.03